LiGa3Ni12 | Alexandria via LeMat-Bulk | PBE-GGA | optimized geometry; V = 11.35 Å³ per atom; ΔH_f (0 K) = -0.2054 eV per atom; space group = P4/mmm; crystal system = tetragonal
1.0
3.585 0.000 0.000
0.000 3.585 0.000
0.000 0.000 14.129
Li Ga Ni
1 3 12
Direct
0.000 0.000 0.000
0.000 0.000 0.247
0.000 0.000 0.500
0.000 0.000 0.753
0.000 0.500 0.122
0.000 0.500 0.373
0.000 0.500 0.627
0.000 0.500 0.878
0.500 0.000 0.122
0.500 0.000 0.373
0.500 0.000 0.627
0.500 0.000 0.878
0.500 0.500 0.000
0.500 0.500 0.247
0.500 0.500 0.500
0.500 0.500 0.753